(1)
5
Lattice="2.613 -2.613 0.000 2.613 2.613 0.000 -2.613 0.000 5.928" Properties=species:S:1:pos:R:3 comment="Tc2Ir2Pt (PBE, optimized geometry)" ef_mev_per_atom=373 pbc="T T T"
Tc 1.307 -1.307 2.964
Tc 1.307 1.307 2.964
Pt 0.000 0.000 0.000
Ir 2.613 0.000 1.200
Ir 0.000 0.000 4.728

=====

(2)
3
Lattice="0.000 3.123 3.123 3.123 0.000 3.123 3.123 3.123 0.000" Properties=species:S:1:pos:R:3 comment="TeIrPt (PBE, optimized geometry)" e_above_lowest_polymorph_mev_per_atom=0.0 pbc="T T T"
Ir 0.000 0.000 0.000
Te 4.685 4.685 4.685
Pt 1.562 1.562 1.562

=====

(3)
9
Lattice="-8.163 -4.914 3.902 -6.385 -7.889 1.731 3.037 -1.384 4.383" Properties=species:S:1:pos:R:3 comment="Te6Ir2Pt (PBE, optimized geometry)" energy_ev_per_atom=-5.022 pbc="T T T"
Ir -4.931 -4.359 1.937
Ir -6.580 -9.827 8.079
Te -2.483 -3.135 2.263
Te -4.233 -6.903 5.994
Te -7.278 -7.283 4.021
Te 0.387 -2.560 3.825
Te -11.898 -11.626 6.191
Te -9.028 -11.051 7.753
Pt 1.518 -0.692 2.191

=====

(4)
3
Lattice="-4.482 0.048 1.175 -1.236 0.840 4.386 -2.065 4.000 1.100" Properties=species:S:1:pos:R:3 comment="ThIrPt (PBE, optimized geometry)" ef_mev_per_atom=-559 e_above_lowest_polymorph_mev_per_atom=0.0 pbc="T T T"
Pt -5.837 3.666 4.997
Th -1.946 1.222 1.666
Ir 0.000 0.000 0.000

=====

(5)
4
Lattice="3.112 2.975 2.089 -0.641 1.320 4.555 2.950 -1.625 3.400" Properties=species:S:1:pos:R:3 comment="Tl2IrPt (PBE, optimized geometry)" energy_ev_per_atom=-4.351 pbc="T T T"
Ir 2.710 1.335 5.022
Tl 0.000 0.000 0.000
Tl 1.355 0.668 2.511
Pt 4.066 2.003 7.533

=====

(6)
4
Lattice="0.000 3.239 3.239 3.239 0.000 3.239 3.239 3.239 0.000" Properties=species:S:1:pos:R:3 comment="TlIrPt2 (PBE, optimized geometry)" energy_ev_per_atom=-5.502 pbc="T T T"
Tl 3.239 3.239 3.239
Pt 0.000 0.000 0.000
Pt 4.858 4.858 4.858
Ir 1.619 1.619 1.619

=====

(7)
3
Lattice="0.000 3.172 3.172 3.172 0.000 3.172 3.172 3.172 0.000" Properties=species:S:1:pos:R:3 comment="TmIrPt (PBE, optimized geometry)" ef_mev_per_atom=-350 e_above_lowest_polymorph_mev_per_atom=0.0 pbc="T T T"
Tm 4.758 4.758 4.758
Ir 1.586 1.586 1.586
Pt 0.000 0.000 0.000

=====

(8)
3
Lattice="-1.630 -1.983 3.653 -2.971 2.133 2.560 -4.251 -1.361 0.093" Properties=species:S:1:pos:R:3 comment="TmIrPt (PBE, optimized geometry)" ef_mev_per_atom=-141 e_above_lowest_polymorph_mev_per_atom=209.4 pbc="T T T"
Tm 0.000 0.000 0.000
Pt -6.639 -0.908 4.730
Ir -2.213 -0.303 1.577

=====

(9)
9
Lattice="3.910 0.000 0.000 0.000 6.223 3.613 0.000 -6.223 3.613" Properties=species:S:1:pos:R:3 comment="Y2TmZn3IrPt2 (PBE, optimized geometry)" ef_mev_per_atom=-880 pbc="T T T"
Zn 1.955 -1.539 6.328
Zn 1.955 0.000 1.775
Zn 1.955 1.539 6.328
Y 0.000 -2.496 1.449
Y 0.000 2.496 1.449
Pt 1.955 -2.031 3.626
Pt 1.955 2.031 3.626
Ir 0.000 0.000 7.201
Tm 0.000 0.000 4.354

=====

(10)
9
Lattice="-5.303 -1.777 4.436 1.156 -3.845 -5.902 2.428 -2.307 1.978" Properties=species:S:1:pos:R:3 comment="Tm3Zn3IrPt2 (PBE, optimized geometry)" ef_mev_per_atom=-903 pbc="T T T"
Tm -2.489 -3.374 -0.880
Tm -2.121 -0.711 1.774
Tm 0.462 -1.538 -2.360
Pt 0.217 -4.309 -1.467
Pt -1.936 -3.620 1.979
Zn -2.775 -2.490 4.326
Zn 0.187 -2.547 0.626
Zn 2.084 -4.046 -3.451
Ir 0.000 0.000 0.000

=====

(11)
6
Lattice="4.330 -2.522 -1.660 1.952 -4.020 2.809 -0.363 -4.932 -1.847" Properties=species:S:1:pos:R:3 comment="UIrPt4 (PBE, optimized geometry)" ef_mev_per_atom=-360 pbc="T T T"
Pt 4.203 -8.031 -2.012
Pt 3.017 -8.779 0.218
Pt 5.177 -10.037 -0.610
Pt 5.359 -7.576 0.311
U 1.480 -2.869 -0.174
Ir 2.959 -5.737 -0.349

=====

(12)
8
Lattice="4.534 0.000 0.000 0.000 2.792 4.797 0.000 -2.792 4.797" Properties=species:S:1:pos:R:3 comment="IrPt2W (PBE, optimized geometry)" ef_mev_per_atom=-210 pbc="T T T"
Pt 2.267 1.366 5.625
Pt 0.000 0.000 1.611
Pt 2.267 0.000 7.999
Pt 2.267 -1.366 5.625
Ir 0.000 -1.362 3.953
Ir 0.000 1.362 3.953
W 2.267 0.000 3.218
W 0.000 0.000 6.389

=====

(13)
8
Lattice="-2.354 -1.587 4.769 4.022 -1.266 1.564 1.856 5.219 -0.548" Properties=species:S:1:pos:R:3 comment="Ir3Pt3W2 (PBE, optimized geometry)" ef_mev_per_atom=-220 e_above_lowest_polymorph_mev_per_atom=3.1 pbc="T T T"
Ir 0.242 1.527 0.613
Ir -0.016 3.305 2.717
Ir 1.285 1.499 4.374
W -0.941 0.718 3.000
W 2.452 2.285 2.009
Pt 1.151 4.077 0.339
Pt 0.356 -1.111 4.650
Pt 1.520 -0.305 2.310

=====

(14)
8
Lattice="-4.139 1.194 -1.191 -0.292 -4.401 -3.398 -1.653 -0.442 5.298" Properties=species:S:1:pos:R:3 comment="Ir2PtW (PBE, optimized geometry)" ef_mev_per_atom=-262 e_above_lowest_polymorph_mev_per_atom=0.0 pbc="T T T"
Ir -4.538 -0.237 2.953
Ir -1.410 -1.227 -0.522
Ir -1.565 -3.461 -2.225
Ir -3.698 0.006 0.279
Pt -2.369 -3.653 0.378
Pt -4.671 -2.380 1.267
W -2.235 -1.453 2.116
W -3.846 -2.190 -1.410

=====

(15)
5
Lattice="5.116 4.307 0.941 0.892 6.637 -0.872 -3.805 -5.047 2.377" Properties=species:S:1:pos:R:3 comment="Ir2Pt2W (PBE, optimized geometry)" ef_mev_per_atom=472 e_above_lowest_polymorph_mev_per_atom=0.0 pbc="T T T"
W 0.000 0.000 0.000
Pt 2.157 2.366 1.676
Pt 0.045 3.531 0.770
Ir 2.423 4.414 0.028
Ir 3.585 6.530 0.041

=====

(16)
8
Lattice="4.440 0.000 0.000 0.000 2.787 4.808 0.000 -2.787 4.808" Properties=species:S:1:pos:R:3 comment="Ir5PtW2 (PBE, optimized geometry)" ef_mev_per_atom=-299 pbc="T T T"
Ir 2.220 -1.377 4.008
Ir 0.000 1.409 5.623
Ir 2.220 0.000 1.587
Ir 0.000 -1.409 5.623
Ir 2.220 1.377 4.008
W 2.220 0.000 6.390
W 0.000 0.000 3.221
Pt 0.000 0.000 8.003

=====

(17)
8
Lattice="5.664 0.000 0.000 -2.832 4.905 0.000 0.000 0.000 4.573" Properties=species:S:1:pos:R:3 comment="IrPtW6 (PBE, optimized geometry)" ef_mev_per_atom=84 pbc="T T T"
W 1.449 2.434 0.000
W 4.215 2.434 0.000
W 2.832 3.237 2.286
W 2.832 0.038 0.000
W 4.219 0.834 2.286
W 1.445 0.834 2.286
Ir 0.000 0.000 0.000
Pt 0.000 3.270 2.286

=====

(18)
5
Lattice="-1.807 1.807 6.330 1.807 -1.807 6.330 1.807 1.807 -6.330" Properties=species:S:1:pos:R:3 comment="Ir2Pt2W (PBE, optimized geometry)" ef_mev_per_atom=577 e_above_lowest_polymorph_mev_per_atom=105.6 pbc="T T T"
Pt 0.000 0.000 5.077
Pt 0.000 0.000 7.582
Ir 0.000 1.807 3.165
Ir 1.807 0.000 3.165
W 0.000 0.000 0.000

=====

(19)
8
Lattice="-2.842 -3.546 -0.750 2.667 -2.959 3.887 -1.653 0.202 5.311" Properties=species:S:1:pos:R:3 comment="IrPt5W2 (PBE, optimized geometry)" ef_mev_per_atom=-220 pbc="T T T"
Pt -0.582 -4.056 7.240
Pt 0.219 -4.151 4.652
Pt 1.474 -1.917 3.476
Pt -0.632 -0.376 4.171
Pt -1.877 -2.617 5.343
Ir 0.177 -0.480 1.602
W -1.086 -2.684 2.664
W 0.677 -1.842 6.143

=====

(20)
8
Lattice="4.527 0.000 0.000 0.000 4.806 2.789 0.000 -4.806 2.789" Properties=species:S:1:pos:R:3 comment="IrPt2W (PBE, optimized geometry)" ef_mev_per_atom=-211 pbc="T T T"
Pt 3.395 -3.188 2.775
Pt 1.132 3.188 2.775
Pt 3.395 -0.834 1.427
Pt 1.132 0.834 1.427
Ir 3.395 -0.820 4.154
Ir 1.132 0.820 4.154
W 1.132 -1.584 2.800
W 3.395 1.584 2.800

=====

| no. | theoretical density (g cm⁻³) |
| --- | --- |
| 1 | 15.91 |
| 2 | 14.03 |
| 3 | 9.83 |
| 4 | 14.61 |
| 5 | 17.06 |
| 6 | 19.23 |
| 7 | 14.47 |
| 8 | 14.68 |
| 9 | 10.63 |
| 10 | 12.43 |
| 11 | 19.33 |
| 12 | 20.95 |
| 13 | 21.03 |
| 14 | 21.16 |
| 15 | 19.20 |
| 16 | 21.26 |
| 17 | 19.48 |
| 18 | 19.25 |
| 19 | 20.70 |
| 20 | 20.97 |